# 1
## Na2Zn2Se3 (PBE)

Data for an optimized crystal structure of Na2Zn2Se3.

Cell lengths 7.2131, 7.2131, 7.1483 Å; angles 117.70, 117.70, 32.79 degrees
Atoms (fractional coordinates):
Na 0.0942 0.0942 0.3498
Na 0.9058 0.9058 0.6502
Zn 0.3130 0.3130 0.1909
Zn 0.6870 0.6870 0.8091
Se 0.2999 0.2999 0.8252
Se 0.5000 0.5000 0.5000
Se 0.7001 0.7001 0.1748

Values from the calculation:
**Crystal system**: monoclinic
**E_tot**: -3.067 eV per atom
**Space group**: C2/m
**Energy relative to the elements, uncorrected**: -833 meV/atom
**Energy above the most stable polymorph in this dataset**: 0.042 eV/atom



# 2
## NaZn2Se2 (PBE)

Data for an optimized crystal structure of NaZn2Se2.

Cell lengths 5.6552, 5.6552, 5.6552 Å; angles 127.79, 127.79, 76.96 degrees
Atoms (fractional coordinates):
Na 0.0000 0.0000 0.0000
Zn 0.3559 0.3559 0.0000
Zn 0.6441 0.6441 0.0000
Se 0.2500 0.7500 0.5000
Se 0.7500 0.2500 0.5000

Values from the calculation:
**Crystal system**: tetragonal
**E_tot**: -2.567 eV per atom
**Space group**: I4/mmm
**Energy relative to the elements, uncorrected**: -400 meV/atom
**Energy above the most stable polymorph in this dataset**: 0.048 eV/atom



# 3
## Na3ZnSe (PBE)

Data for an optimized crystal structure of Na3ZnSe.

Cell lengths 5.5628, 5.5628, 5.5628 Å; angles 90.00, 90.00, 90.00 degrees
Atoms (fractional coordinates):
Na 0.0000 0.0000 0.5000
Na 0.0000 0.5000 0.0000
Na 0.5000 0.0000 0.0000
Zn 0.5000 0.5000 0.5000
Se 0.0000 0.0000 0.0000

Values from the calculation:
**Crystal system**: cubic
**E_tot**: -2.116 eV per atom
**Space group**: Pm-3m
**Energy relative to the elements, uncorrected**: -373 meV/atom
**Energy above the most stable polymorph in this dataset**: 0.000 eV/atom



# 4
## Na2Zn2Se3 (PBE)

Data for an optimized crystal structure of Na2Zn2Se3.

Cell lengths 10.3617, 10.3617, 7.1061 Å; angles 109.87, 109.87, 83.17 degrees
Atoms (fractional coordinates):
Na 0.0691 0.9309 0.7500
Na 0.2183 0.7817 0.2500
Na 0.3071 0.4754 0.3511
Na 0.4754 0.3071 0.8511
Na 0.5246 0.6929 0.1489
Na 0.6929 0.5246 0.6489
Na 0.7817 0.2183 0.7500
Na 0.9309 0.0691 0.2500
Zn 0.0477 0.5820 0.7375
Zn 0.1373 0.2944 0.7990
Zn 0.2944 0.1373 0.2990
Zn 0.4180 0.9523 0.7625
Zn 0.5820 0.0477 0.2375
Zn 0.7056 0.8627 0.7010
Zn 0.8627 0.7056 0.2010
Zn 0.9523 0.4180 0.2625
Se 0.0787 0.2259 0.0703
Se 0.0819 0.6468 0.4475
Se 0.2259 0.0787 0.5703
Se 0.2705 0.5085 0.9418
Se 0.3532 0.9181 0.0525
Se 0.4915 0.7295 0.5582
Se 0.5085 0.2705 0.4418
Se 0.6468 0.0819 0.9475
Se 0.7295 0.4915 0.0582
Se 0.7741 0.9213 0.4297
Se 0.9181 0.3532 0.5525
Se 0.9213 0.7741 0.9297

Values from the calculation:
**Crystal system**: monoclinic
**E_tot**: -3.108 eV per atom
**Space group**: C2/c
**Energy relative to the elements, uncorrected**: -874 meV/atom
**Energy above the most stable polymorph in this dataset**: 0.000 eV/atom



# 5
## Na2Zr2ZnSe6 (PBE)

Data for an optimized crystal structure of Na2Zr2ZnSe6.

Cell lengths 6.8204, 6.8204, 7.4846 Å; angles 98.42, 98.42, 121.91 degrees
Atoms (fractional coordinates):
Na 0.1603 0.8397 0.0000
Na 0.8397 0.1603 0.0000
Zr 0.3288 0.6712 0.5000
Zr 0.6712 0.3288 0.5000
Zn 0.0000 0.0000 0.5000
Se 0.0758 0.4198 0.7216
Se 0.2489 0.2489 0.2986
Se 0.4198 0.0758 0.7216
Se 0.5802 0.9242 0.2784
Se 0.7511 0.7511 0.7014
Se 0.9242 0.5802 0.2784

Values from the calculation:
**Crystal system**: monoclinic
**E_tot**: -4.950 eV per atom
**Space group**: C2/m
**Energy relative to the elements, uncorrected**: -1139 meV/atom



# 6
## Na8ZrSe6 (PBE)

Data for an optimized crystal structure of Na8ZrSe6.

Cell lengths 8.1824, 8.7104, 12.2509 Å; angles 90.00, 90.00, 90.00 degrees
Atoms (fractional coordinates):
Na 0.0000 0.1320 0.0000
Na 0.0000 0.2378 0.4395
Na 0.2061 0.5751 0.7919
Na 0.2122 0.7131 0.1112
Na 0.2222 0.9419 0.7708
Na 0.2778 0.0581 0.2708
Na 0.2878 0.2869 0.6112
Na 0.2939 0.4249 0.2919
Na 0.5000 0.7622 0.9395
Na 0.5000 0.8680 0.5000
Na 0.7061 0.4249 0.2919
Na 0.7122 0.2869 0.6112
Na 0.7222 0.0581 0.2708
Na 0.7778 0.9419 0.7708
Na 0.7878 0.7131 0.1112
Na 0.7939 0.5751 0.7919
Zr 0.0000 0.7436 0.4693
Zr 0.5000 0.2564 0.9693
Se 0.0000 0.2572 0.2182
Se 0.0000 0.4980 0.5896
Se 0.0000 0.7844 0.9310
Se 0.0000 0.9897 0.5851
Se 0.2484 0.7447 0.3461
Se 0.2516 0.2553 0.8461
Se 0.5000 0.0103 0.0851
Se 0.5000 0.2156 0.4310
Se 0.5000 0.5020 0.0896
Se 0.5000 0.7428 0.7182
Se 0.7484 0.2553 0.8461
Se 0.7516 0.7447 0.3461

Values from the calculation:
**Crystal system**: orthorhombic
**E_tot**: -3.737 eV per atom
**Space group**: Pmn2_1
**Energy relative to the elements, uncorrected**: -1069 meV/atom



# 7
## NaZrSe2 (PBE)

Data for an optimized crystal structure of NaZrSe2.

Cell lengths 3.4095, 3.4095, 7.3618 Å; angles 90.00, 90.00, 90.00 degrees
Atoms (fractional coordinates):
Na 0.0000 0.0000 0.0000
Zr 0.0000 0.0000 0.5000
Se 0.5000 0.5000 0.2816
Se 0.5000 0.5000 0.7184

Values from the calculation:
**Crystal system**: tetragonal
**E_tot**: -5.360 eV per atom
**Space group**: P4/mmm
**Energy relative to the elements, uncorrected**: -1151 meV/atom



# 8
## NaZrSe2 (PBE)

Data for an optimized crystal structure of NaZrSe2.

Cell lengths 7.7071, 7.7071, 7.7071 Å; angles 28.66, 28.66, 28.66 degrees
Atoms (fractional coordinates):
Na 0.0000 0.0000 0.0000
Zr 0.1682 0.1682 0.1682
Se 0.5762 0.5762 0.5762
Se 0.7602 0.7602 0.7602

Values from the calculation:
**Crystal system**: trigonal
**E_tot**: -5.505 eV per atom
**Space group**: R3m
**Energy relative to the elements, uncorrected**: -1295 meV/atom



# 9
## NaZr3Se6 (PBE)

Data for an optimized crystal structure of NaZr3Se6.

Cell lengths 11.3647, 3.7971, 12.8735 Å; angles 90.00, 110.07, 90.00 degrees
Atoms (fractional coordinates):
Na 0.1715 0.2500 0.4934
Na 0.8285 0.7500 0.5066
Zr 0.1556 0.7500 0.0225
Zr 0.2074 0.2500 0.7921
Zr 0.4727 0.2500 0.3601
Zr 0.5273 0.7500 0.6399
Zr 0.7926 0.7500 0.2079
Zr 0.8444 0.2500 0.9775
Se 0.0183 0.2500 0.8718
Se 0.0964 0.7500 0.6429
Se 0.2804 0.2500 0.1638
Se 0.3386 0.7500 0.9340
Se 0.3459 0.7500 0.4322
Se 0.4075 0.2500 0.7091
Se 0.5925 0.7500 0.2909
Se 0.6541 0.2500 0.5678
Se 0.6614 0.2500 0.0660
Se 0.7196 0.7500 0.8362
Se 0.9036 0.2500 0.3571
Se 0.9817 0.7500 0.1282

Values from the calculation:
**Crystal system**: monoclinic
**E_tot**: -6.078 eV per atom
**Space group**: P2_1/m
**Energy relative to the elements, uncorrected**: -1291 meV/atom



# 10
## NaZrSe2 (PBE)

Data for an optimized crystal structure of NaZrSe2.

Cell lengths 4.8847, 4.8847, 4.8847 Å; angles 60.00, 60.00, 60.00 degrees
Atoms (fractional coordinates):
Na 0.0000 0.0000 0.0000
Zr 0.5000 0.5000 0.5000
Se 0.2500 0.2500 0.2500
Se 0.7500 0.7500 0.7500

Values from the calculation:
**Crystal system**: cubic
**E_tot**: -5.076 eV per atom
**Space group**: Fm-3m
**Energy relative to the elements, uncorrected**: -866 meV/atom



# 11
## NaZrSe3 (PBE)

Data for an optimized crystal structure of NaZrSe3.

Cell lengths 5.2681, 5.2681, 5.2681 Å; angles 90.00, 90.00, 90.00 degrees
Atoms (fractional coordinates):
Na 0.0000 0.0000 0.0000
Zr 0.5000 0.5000 0.5000
Se 0.0000 0.5000 0.5000
Se 0.5000 0.0000 0.5000
Se 0.5000 0.5000 0.0000

Values from the calculation:
**Crystal system**: cubic
**E_tot**: -4.977 eV per atom
**Space group**: Pm-3m
**Energy relative to the elements, uncorrected**: -913 meV/atom
**Energy above the most stable polymorph in this dataset**: 0.156 eV/atom



# 12
## NaZrSe3 (PBE)

Data for an optimized crystal structure of NaZrSe3.

Cell lengths 4.9633, 4.9633, 4.9633 Å; angles 90.00, 90.00, 90.00 degrees
Atoms (fractional coordinates):
Na 0.0000 0.0000 0.0000
Zr 0.5000 0.5000 0.5000
Se 0.0000 0.0000 0.5000
Se 0.0000 0.5000 0.0000
Se 0.5000 0.0000 0.0000

Values from the calculation:
**Crystal system**: cubic
**E_tot**: -3.686 eV per atom
**Space group**: Pm-3m
**Energy relative to the elements, uncorrected**: 378 meV/atom
**Energy above the most stable polymorph in this dataset**: 1.448 eV/atom



# 13
## NaZr2Se4 (PBE)

Data for an optimized crystal structure of NaZr2Se4.

Cell lengths 8.1110, 8.1110, 8.1110 Å; angles 119.77, 119.77, 90.40 degrees
Atoms (fractional coordinates):
Na 0.3750 0.6250 0.7500
Na 0.6250 0.3750 0.2500
Zr 0.0000 0.0000 0.0000
Zr 0.0000 0.0000 0.5000
Zr 0.0000 0.5000 0.0000
Zr 0.5000 0.0000 0.5000
Se 0.2149 0.2393 0.9756
Se 0.2364 0.7607 0.4756
Se 0.2393 0.2149 0.4756
Se 0.2393 0.7636 0.0244
Se 0.7607 0.2364 0.9756
Se 0.7607 0.7851 0.5244
Se 0.7636 0.2393 0.5244
Se 0.7851 0.7607 0.0244

Values from the calculation:
**Crystal system**: tetragonal
**E_tot**: -5.885 eV per atom
**Space group**: I4_1/amd
**Energy relative to the elements, uncorrected**: -1264 meV/atom
**Energy above the most stable polymorph in this dataset**: 0.015 eV/atom



# 14
## Na5ZrSe5 (PBE)

Data for an optimized crystal structure of Na5ZrSe5.

Cell lengths 7.4700, 7.4700, 8.1961 Å; angles 106.70, 106.70, 44.28 degrees
Atoms (fractional coordinates):
Na 0.0000 0.0000 0.0000
Na 0.3039 0.3039 0.1753
Na 0.3165 0.3165 0.6389
Na 0.6835 0.6835 0.3611
Na 0.6961 0.6961 0.8247
Zr 0.0000 0.0000 0.5000
Se 0.1397 0.1397 0.3333
Se 0.1499 0.1499 0.8079
Se 0.5000 0.5000 0.5000
Se 0.8501 0.8501 0.1921
Se 0.8603 0.8603 0.6667

Values from the calculation:
**Crystal system**: monoclinic
**E_tot**: -4.003 eV per atom
**Space group**: C2/m
**Energy relative to the elements, uncorrected**: -1042 meV/atom



# 15
## Na2ZrSe2 (PBE)

Data for an optimized crystal structure of Na2ZrSe2.

Cell lengths 5.5467, 5.5467, 5.5467 Å; angles 124.18, 124.18, 82.90 degrees
Atoms (fractional coordinates):
Na 0.1430 0.1430 0.0000
Na 0.8570 0.8570 0.0000
Zr 0.5000 0.5000 0.0000
Se 0.2500 0.7500 0.5000
Se 0.7500 0.2500 0.5000

Values from the calculation:
**Crystal system**: tetragonal
**E_tot**: -3.930 eV per atom
**Space group**: I4/mmm
**Energy relative to the elements, uncorrected**: -299 meV/atom
**Energy above the most stable polymorph in this dataset**: 0.564 eV/atom



# 16
## NaZrSe3 (PBE)

Data for an optimized crystal structure of NaZrSe3.

Cell lengths 7.7204, 7.7204, 7.7472 Å; angles 101.74, 101.74, 39.98 degrees
Atoms (fractional coordinates):
Na 0.1365 0.1365 0.3536
Na 0.8635 0.8635 0.6464
Zr 0.3501 0.3501 0.1234
Zr 0.6499 0.6499 0.8766
Se 0.1658 0.1658 0.9556
Se 0.3499 0.3499 0.4421
Se 0.4610 0.4610 0.8386
Se 0.5390 0.5390 0.1614
Se 0.6501 0.6501 0.5579
Se 0.8342 0.8342 0.0444

Values from the calculation:
**Crystal system**: monoclinic
**E_tot**: -5.134 eV per atom
**Space group**: C2/m
**Energy relative to the elements, uncorrected**: -1070 meV/atom
**Energy above the most stable polymorph in this dataset**: 0.000 eV/atom



# 17
## Na2ZrSe2 (PBE)

Data for an optimized crystal structure of Na2ZrSe2.

Cell lengths 7.7319, 7.7319, 3.5155 Å; angles 90.00, 90.00, 90.00 degrees
Atoms (fractional coordinates):
Na 0.1126 0.3874 0.0000
Na 0.3874 0.8874 0.0000
Na 0.6126 0.1126 0.0000
Na 0.8874 0.6126 0.0000
Zr 0.0000 0.0000 0.0000
Zr 0.5000 0.5000 0.0000
Se 0.1907 0.6907 0.5000
Se 0.3093 0.1907 0.5000
Se 0.6907 0.8093 0.5000
Se 0.8093 0.3093 0.5000

Values from the calculation:
**Crystal system**: tetragonal
**E_tot**: -4.062 eV per atom
**Space group**: P4/mbm
**Energy relative to the elements, uncorrected**: -431 meV/atom
**Energy above the most stable polymorph in this dataset**: 0.432 eV/atom



# 18
## NaZrSe2 (PBE)

Data for an optimized crystal structure of NaZrSe2.

Cell lengths 7.4410, 7.4410, 7.4410 Å; angles 127.13, 127.13, 78.04 degrees
Atoms (fractional coordinates):
Na 0.0000 0.0000 0.0000
Na 0.7500 0.2500 0.5000
Zr 0.2500 0.7500 0.5000
Zr 0.5000 0.5000 0.0000
Se 0.1617 0.6250 0.0367
Se 0.3750 0.4117 0.5367
Se 0.5883 0.1250 0.9633
Se 0.8750 0.8383 0.4633

Values from the calculation:
**Crystal system**: tetragonal
**E_tot**: -5.195 eV per atom
**Space group**: I-42d
**Energy relative to the elements, uncorrected**: -986 meV/atom



# 19
## Na2ZrSe2 (PBE)

Data for an optimized crystal structure of Na2ZrSe2.

Cell lengths 7.4234, 7.4234, 4.1674 Å; angles 90.00, 90.00, 90.00 degrees
Atoms (fractional coordinates):
Na 0.1380 0.3620 0.0000
Na 0.3620 0.8620 0.0000
Na 0.6380 0.1380 0.0000
Na 0.8620 0.6380 0.0000
Zr 0.0000 0.0000 0.5000
Zr 0.5000 0.5000 0.5000
Se 0.1773 0.6773 0.5000
Se 0.3227 0.1773 0.5000
Se 0.6773 0.8227 0.5000
Se 0.8227 0.3227 0.5000

Values from the calculation:
**Crystal system**: tetragonal
**E_tot**: -4.493 eV per atom
**Space group**: P4/mbm
**Energy relative to the elements, uncorrected**: -862 meV/atom
**Energy above the most stable polymorph in this dataset**: 0.000 eV/atom



# 20
## NaZr2Se4 (PBE)

Data for an optimized crystal structure of NaZr2Se4.

Cell lengths 6.6998, 6.6998, 13.5945 Å; angles 90.00, 90.00, 146.39 degrees
Atoms (fractional coordinates):
Na 0.1092 0.8908 0.7500
Na 0.8908 0.1092 0.2500
Zr 0.3681 0.6319 0.5664
Zr 0.3681 0.6319 0.9336
Zr 0.6319 0.3681 0.0664
Zr 0.6319 0.3681 0.4336
Se 0.0000 0.0000 0.0000
Se 0.0000 0.0000 0.5000
Se 0.2739 0.7261 0.1155
Se 0.2739 0.7261 0.3845
Se 0.4358 0.5642 0.7500
Se 0.5642 0.4358 0.2500
Se 0.7261 0.2739 0.6155
Se 0.7261 0.2739 0.8845

Values from the calculation:
**Crystal system**: orthorhombic
**E_tot**: -5.901 eV per atom
**Space group**: Cmcm
**Energy relative to the elements, uncorrected**: -1279 meV/atom
**Energy above the most stable polymorph in this dataset**: 0.000 eV/atom